VASP calculation (PBE-GGA) on a relaxed BeInNi2 crystal.

Values from the calculation:
ΔE to the lowest computed polymorph	0	meV per atom
theoretical density	8.1	g/cm³
space group	P4/mmm
total moment	0.0000	μB/atom

Cell lengths 2.7962, 2.7939, 6.3335 Å; angles 90.00, 90.00, 90.00 degrees
Fractional positions:
Ni1 0.0000 0.0000 0.0533
Ni2 0.0000 0.0000 0.4467
Be1 0.5000 0.5000 0.2500
In1 0.5000 0.5000 0.7500